# Sr2MgPt

A geometry-optimized Sr2MgPt structure (GGA-PBE, Alexandria via LeMat-Bulk). Values from VASP.

```
&SYSTEM
  ibrav = 0, nat = 4, ntyp = 3
/
ATOMIC_SPECIES
Sr 87.62 Sr.upf
Mg 24.30 Mg.upf
Pt 195.08 Pt.upf
CELL_PARAMETERS angstrom
6.909 0.011 -0.021
5.870 3.645 -0.021
2.134 0.610 4.941
ATOMIC_POSITIONS angstrom
Sr 12.190 3.487 0.236
Sr 11.161 3.193 3.685
Mg 8.253 2.361 2.078
Pt 3.544 1.014 1.308
```

## Properties
Total magnetization   0.0 μB/cell
Space-group type   No. 44
DFT formation energy   -424 meV per atom